VASP calculation (PBE) on a geometry-optimized LiMg2Sn2 structure.

a b c (Å): 5.6499 6.1723 7.7656
angles (deg): 113.42 111.33 90.00
Element x y z (fractional)
Mg1 0.1008 0.2438 0.2016
Mg2 0.8992 0.7562 0.7984
Mg3 0.3992 0.0422 0.7984
Mg4 0.6008 0.9578 0.2016
Sn1 0.8322 0.1706 0.6644
Sn2 0.3322 0.4938 0.6644
Sn3 0.1678 0.8294 0.3356
Sn4 0.6678 0.5062 0.3356
Li1 0.2500 0.5000 0.0000
Li2 0.7500 0.5000 0.0000

Output
energy of formation: -89 meV per atom
energy above the most stable polymorph in this dataset: 25 kJ/mol of formula units
size of the total moment: 0.00 Bohr magnetons per cell
space-group type: Ibam, No. 72
D(E_F): 0.42 states/eV per atom